<A>
A plane-wave DFT calculation with PBE was carried out for Zn2SiSb after structural relaxation.

abc: 3.0276 3.8480 6.6401
angles: 90.00 90.00 90.00
Last column: nearest neighbours and their distance in Å.
Sites, in units of the cell vectors:
Zn (0.0000, 0.0000, 0.0000)  4 Si 2.67, 4 Zn 2.89
Zn (0.5000, 0.5000, 0.2321)  1 Si 2.60, 4 Zn 2.89
Si (0.5000, 0.5000, 0.8410)  5 Zn 2.60-2.67
Sb (0.0000, 0.0000, 0.4826)  5 Zn 2.96-3.20, 2 Sb 3.03

Properties
The value obtained for the total magnetization is 0.00 μB/f.u. The symmetry is Pmm2. Its density of states at the Fermi level is 0.31 states/eV per atom.

***

<B>
A plane-wave DFT calculation with PBE was carried out for Zn2SiSb after structural relaxation.

abc: 4.7817 4.7817 4.7817
angles: 60.00 60.00 60.00
Last column: nearest neighbours and their distance in Å.
Sites, in units of the cell vectors:
Zn (0.2500, 0.2500, 0.2500)  4 Sb 2.93, 4 Si 2.93
Zn (0.7500, 0.7500, 0.7500)  4 Sb 2.93, 4 Si 2.93
Si (0.0000, 0.0000, 0.0000)  8 Zn 2.93
Sb (0.5000, 0.5000, 0.5000)  8 Zn 2.93

Properties
The value obtained for the total magnetization is 0.00 μB/f.u. The symmetry is Fm-3m. Its density of states at the Fermi level is 0.37 states/eV per atom.

***

Of them, <B> has the lowest stability.

***

<A>
A plane-wave DFT calculation with PBE was carried out for ZnSi2Sb after structural relaxation.

abc: 3.1898 3.1898 7.5451
angles: 90.00 90.00 99.90
Last column: nearest neighbours and their distance in Å.
Sites, in units of the cell vectors:
Zn (0.0000, 0.0000, 0.0000)  4 Si 2.66-2.97
Si (0.0000, 0.0000, 0.4037)  2 Si 2.46
Si (0.5000, 0.5000, 0.2237)  2 Si 2.46, 2 Zn 2.66
Sb (0.5000, 0.5000, 0.7067)  4 Zn 3.02-3.30, 4 Si 3.07-3.35, 4 Sb 3.19

Properties
The value obtained for the total magnetization is 0.00 μB/f.u. The symmetry is Cmm2. Its density of states at the Fermi level is 0.42 states/eV per atom.

***

<B>
A plane-wave DFT calculation with PBE was carried out for ZnSi2Sb after structural relaxation.

abc: 3.4796 3.4796 7.0411
angles: 90.00 90.00 90.00
Last column: nearest neighbours and their distance in Å.
Sites, in units of the cell vectors:
Zn (0.0000, 0.0000, 0.0000)  1 Si 2.40
Si (0.0000, 0.0000, 0.6598)  1 Zn 2.40, 4 Si 2.52
Si (0.5000, 0.5000, 0.5800)  4 Si 2.52, 1 Sb 2.64
Sb (0.5000, 0.5000, 0.2054)  1 Si 2.64, 4 Zn 2.85

Properties
The value obtained for the total magnetization is 0.00 μB/f.u. The symmetry is P4mm. Its density of states at the Fermi level is 0.37 states/eV per atom.

***

<C>
A plane-wave DFT calculation with PBE was carried out for ZnSi2Sb after structural relaxation.

abc: 6.1461 6.1461 6.1461
angles: 145.80 143.68 50.74
Last column: nearest neighbours and their distance in Å.
Sites, in units of the cell vectors:
Zn (0.0000, 0.0000, 0.0000)  6 Si 2.64-2.70, 2 Sb 2.92
Si (0.5173, 0.5173, 0.0000)  2 Si 2.49, 4 Zn 2.64
Si (0.6716, 0.1716, 0.5000)  2 Si 2.49, 2 Zn 2.70
Sb (0.3017, 0.8017, 0.5000)  2 Zn 2.92, 6 Si 3.00

Properties
The value obtained for the total magnetization is 0.00 μB/f.u. The symmetry is Imm2. Its density of states at the Fermi level is 0.36 states/eV per atom.

***

Of them, <A> has the lowest stability.

***

<A>
A plane-wave DFT calculation with PBE was carried out for ZnSi2Sb after structural relaxation.

abc: 3.1142 3.3939 7.3490
angles: 90.00 90.10 90.00
Last column: nearest neighbours and their distance in Å.
Sites, in units of the cell vectors:
Zn (0.0000, 0.0000, 0.0000)  5 Si 2.67-2.82, 2 Sb 2.86
Si (0.4920, 0.5000, 0.2177)  4 Si 2.54, 4 Zn 2.79-2.82
Si (0.9922, 0.0000, 0.3635)  4 Si 2.54, 1 Zn 2.67
Sb (0.9853, 0.5000, 0.6863)  2 Zn 2.86, 2 Si 2.92, 2 Sb 3.11

Properties
The value obtained for the total magnetization is 0.00 μB/f.u. The symmetry is Pm. Its density of states at the Fermi level is 0.31 states/eV per atom.

***

<B>
A plane-wave DFT calculation with PBE was carried out for ZnSi2Sb after structural relaxation.

abc: 5.3722 5.3722 3.0250
angles: 90.00 90.00 118.48
Last column: nearest neighbours and their distance in Å.
Sites, in units of the cell vectors:
Zn (0.0000, 0.0000, 0.0000)  2 Sb 2.75, 2 Zn 3.02
Si (0.0000, 0.5000, 0.5000)  4 Si 2.75-3.02
Si (0.5000, 0.0000, 0.5000)  4 Si 2.75-3.02
Sb (0.5000, 0.5000, 0.0000)  2 Zn 2.75, 2 Sb 3.02

Properties
The value obtained for the total magnetization is 0.00 μB/f.u. The symmetry is Cmmm. Its density of states at the Fermi level is 0.19 states/eV per atom.

***

Of them, <B> has the lowest stability.

***

<A>
A plane-wave DFT calculation with PBE was carried out for ZnSi2Sb after structural relaxation.

abc: 8.4770 8.4770 8.4770
angles: 22.45 22.45 22.45
Last column: nearest neighbours and their distance in Å.
Sites, in units of the cell vectors:
Zn (0.0000, 0.0000, 0.0000)  6 Si 2.58
Si (0.2632, 0.2632, 0.2632)  3 Zn 2.58
Si (0.7368, 0.7368, 0.7368)  3 Zn 2.58
Sb (0.5000, 0.5000, 0.5000)  6 Si 3.06, 6 Sb 3.30

Properties
The value obtained for the total magnetization is 0.00 μB/f.u. The symmetry is R-3m. Its density of states at the Fermi level is 0.30 states/eV per atom.

***

<B>
A plane-wave DFT calculation with PBE was carried out for ZnSi2Sb after structural relaxation.

abc: 3.7890 3.7890 5.4754
angles: 90.00 90.00 90.00
Last column: nearest neighbours and their distance in Å.
Sites, in units of the cell vectors:
Zn (0.0000, 0.0000, 0.0000)  4 Sb 2.68, 2 Si 2.74
Si (0.0000, 0.0000, 0.5000)  4 Si 2.68, 2 Zn 2.74
Si (0.5000, 0.5000, 0.5000)  4 Si 2.68, 2 Sb 2.74
Sb (0.5000, 0.5000, 0.0000)  4 Zn 2.68, 2 Si 2.74

Properties
The value obtained for the total magnetization is 0.00 μB/f.u. The symmetry is P4/mmm. Its density of states at the Fermi level is 0.17 states/eV per atom.

***

<C>
A plane-wave DFT calculation with PBE was carried out for ZnSi2Sb after structural relaxation.

abc: 7.0921 7.0921 7.0921
angles: 131.13 131.13 71.61
Last column: nearest neighbours and their distance in Å.
Sites, in units of the cell vectors:
Zn (0.0000, 0.0000, 0.0000)  4 Si 2.42
Zn (0.7500, 0.2500, 0.5000)  4 Si 2.42
Si (0.0938, 0.6250, 0.9688)  2 Zn 2.42, 2 Sb 2.63
Si (0.3750, 0.3438, 0.4688)  2 Zn 2.42, 2 Sb 2.63
Si (0.6562, 0.1250, 0.0312)  2 Zn 2.42, 2 Sb 2.63
Si (0.8750, 0.9062, 0.5312)  2 Zn 2.42, 2 Sb 2.63
Sb (0.2500, 0.7500, 0.5000)  4 Si 2.63
Sb (0.5000, 0.5000, 0.0000)  4 Si 2.63

Properties
The value obtained for the total magnetization is 0.00 μB/f.u. The symmetry is I-42d. Its density of states at the Fermi level is 0.50 states/eV per atom.

***

<D>
A plane-wave DFT calculation with PBE was carried out for ZnSi2Sb after structural relaxation.

abc: 5.8298 5.7855 3.8383
angles: 71.33 70.08 38.59
Last column: nearest neighbours and their distance in Å.
Sites, in units of the cell vectors:
Zn (0.0000, 0.0000, 0.0000)  4 Sb 2.67-2.76, 4 Si 2.91
Si (0.0000, 0.5000, 0.5000)  4 Si 2.67-2.76, 2 Sb 2.91, 2 Zn 2.91
Si (0.5000, 0.0000, 0.0000)  4 Si 2.67-2.76, 2 Sb 2.91, 2 Zn 2.91
Sb (0.5000, 0.5000, 0.5000)  4 Zn 2.67-2.76, 4 Si 2.91

Properties
The value obtained for the total magnetization is 0.00 μB/f.u. The symmetry is Fmmm. Its density of states at the Fermi level is 0.42 states/eV per atom.

***

Of them, <A> has the lowest stability.

***

<A>
A plane-wave DFT calculation with PBE was carried out for Zn2SiSb2 after structural relaxation.

abc: 6.6034 6.6034 6.6034
angles: 140.00 140.00 57.85
Last column: nearest neighbours and their distance in Å.
Sites, in units of the cell vectors:
Zn (0.1013, 0.1013, 0.0000)  1 Zn 2.34
Zn (0.8987, 0.8987, 0.0000)  1 Zn 2.34
Si (0.5000, 0.5000, 0.0000)  8 Zn 3.40, 8 Sb 3.67
Sb (0.2500, 0.7500, 0.5000)  4 Zn 2.84
Sb (0.7500, 0.2500, 0.5000)  4 Zn 2.84

Properties
The value obtained for the total magnetization is 0.00 μB/f.u. The symmetry is I4/mmm. Its density of states at the Fermi level is 0.43 states/eV per atom.

***

<B>
A plane-wave DFT calculation with PBE was carried out for Zn2SiSb2 after structural relaxation.

abc: 8.6798 8.6798 8.6798
angles: 155.84 155.84 34.44
Last column: nearest neighbours and their distance in Å.
Sites, in units of the cell vectors:
Zn (0.2500, 0.7500, 0.5000)  4 Zn 2.57
Zn (0.7500, 0.2500, 0.5000)  4 Zn 2.57
Si (0.0000, 0.0000, 0.0000)  8 Sb 3.01
Sb (0.4060, 0.4060, 0.0000)  4 Si 3.01, 1 Sb 3.12, 4 Zn 3.16
Sb (0.5940, 0.5940, 0.0000)  4 Si 3.01, 1 Sb 3.12, 4 Zn 3.16

Properties
The value obtained for the total magnetization is 0.00 μB/f.u. The symmetry is I4/mmm. Its density of states at the Fermi level is 0.25 states/eV per atom.

***

Of them, <A> has the lowest stability.

***

<A>
A plane-wave DFT calculation with PBE was carried out for Zn2Si2Sb after structural relaxation.

abc: 8.0386 8.0386 8.0386
angles: 154.79 154.79 35.95
Last column: nearest neighbours and their distance in Å.
Sites, in units of the cell vectors:
Zn (0.1114, 0.1114, 0.0000)  4 Si 2.75, 4 Sb 3.01
Zn (0.8886, 0.8886, 0.0000)  4 Si 2.75, 4 Sb 3.01
Si (0.2500, 0.7500, 0.5000)  4 Si 2.48, 4 Zn 2.75
Si (0.7500, 0.2500, 0.5000)  4 Si 2.48, 4 Zn 2.75
Sb (0.5000, 0.5000, 0.0000)  8 Zn 3.01

Properties
The value obtained for the total magnetization is 0.00 μB/f.u. The symmetry is I4/mmm. Its density of states at the Fermi level is 0.41 states/eV per atom.

***

<B>
A plane-wave DFT calculation with PBE was carried out for Zn2Si2Sb after structural relaxation.

abc: 6.0883 6.0883 6.0883
angles: 139.68 139.68 58.35
Last column: nearest neighbours and their distance in Å.
Sites, in units of the cell vectors:
Zn (0.2500, 0.7500, 0.5000)  4 Si 2.57
Zn (0.7500, 0.2500, 0.5000)  4 Si 2.57
Si (0.1100, 0.1100, 0.0000)  1 Si 2.34, 4 Zn 2.57
Si (0.8900, 0.8900, 0.0000)  1 Si 2.34, 4 Zn 2.57
Sb (0.5000, 0.5000, 0.0000)  8 Si 3.19, 8 Zn 3.39

Properties
The value obtained for the total magnetization is 0.00 μB/f.u. The symmetry is I4/mmm. Its density of states at the Fermi level is 0.50 states/eV per atom.

***

Of them, <B> has the lowest stability.